AlCoCuF6: optimized geometry, PBE with a Hubbard U.

The energy comes out at -92.1 eV per cell. The value obtained for the total moment is 3.10 μB per formula unit.

The structure belongs to space group P-31c (No. 163); the cell edges are 5.1875, 5.1875 and 9.3773 Å and the angles 90.00°, 90.00° and 120.00°. Symmetry generates all atoms from Al at (0.3333, 0.6667, 0.2500), Co at (0.3333, 0.6667, 0.7500), Cu at (0.0000, 0.0000, 0.0000) and F at (0.0330, 0.3773, 0.1414).